[1]
An optimized crystal structure of AcSnPb. Source: Alexandria, functional PBE-GGA.

**Excess energy over the best structure of this formula in the dataset**: 0.073 eV per atom
**Energy of formation**: -0.356 eV/atom
**Raw total energy**: -0.3157 Ry/atom

a = 4.0983 Å, b = 4.0983 Å, c = 6.5484 Å
α = 108.24°, β = 108.24°, γ = 90.00°
With the nearest neighbours (Å) after each atom.
Fractional positions:
Pb1 0.0257 0.0257 0.0513  4 Sn 3.21, 1 Ac 3.58
Sn1 0.6439 0.6439 0.2877  4 Pb 3.21
Ac1 0.3305 0.3305 0.6609  5 Pb 3.58-3.70, 5 Sn 3.63-3.68

=====

[2]
An optimized crystal structure of Sc2Tl2Ag. Source: Alexandria, functional PBE-GGA.

**Excess energy over the best structure of this formula in the dataset**: 0.074 eV per atom
**Energy of formation**: -0.055 eV/atom
**Raw total energy**: -0.3016 Ry/atom

a = 6.0039 Å, b = 6.0599 Å, c = 7.8302 Å
α = 112.77°, β = 112.54°, γ = 90.00°
With the nearest neighbours (Å) after each atom.
Fractional positions:
Tl1 0.3993 0.0467 0.7987  2 Ag 2.93, 2 Sc 2.96-3.02, 1 Tl 3.19
Sc1 0.1740 0.8493 0.3479  2 Ag 2.93, 2 Tl 2.96-3.02
Tl2 0.6007 0.9533 0.2013  2 Ag 2.93, 2 Sc 2.96-3.02, 1 Tl 3.19
Ag1 0.7500 0.5000 0.0000  4 Tl 2.93, 4 Sc 2.93, 2 Ag 3.00
Tl3 0.1007 0.2481 0.2013  2 Ag 2.93, 2 Sc 2.96-3.02, 1 Tl 3.19
Ag2 0.2500 0.5000 0.0000  4 Tl 2.93, 4 Sc 2.93, 2 Ag 3.00
Tl4 0.8993 0.7519 0.7987  2 Ag 2.93, 2 Sc 2.96-3.02, 1 Tl 3.19
Sc2 0.3260 0.5014 0.6521  2 Ag 2.93, 2 Tl 2.96-3.02
Sc3 0.6740 0.4986 0.3479  2 Ag 2.93, 2 Tl 2.96-3.02
Sc4 0.8260 0.1507 0.6521  2 Ag 2.93, 2 Tl 2.96-3.02

=====

[3]
An optimized crystal structure of CeHoC. Source: Alexandria, functional PBE-GGA.

**Excess energy over the best structure of this formula in the dataset**: 0.000 eV per atom
**Energy of formation**: -0.212 eV/atom
**Raw total energy**: -0.4991 Ry/atom

a = 3.5420 Å, b = 3.5420 Å, c = 6.6409 Å
α = 74.57°, β = 74.57°, γ = 60.01°
With the nearest neighbours (Å) after each atom.
Fractional positions:
Ho1 0.0971 0.0971 0.8579  3 C 2.45
Ce1 0.6175 0.6175 0.2972  3 C 2.49
C1 0.3591 0.3591 0.0720  3 Ho 2.45, 3 Ce 2.49

=====

[4]
An optimized crystal structure of CoRu2Cl. Source: Alexandria, functional PBE-GGA.

**Excess energy over the best structure of this formula in the dataset**: 0.100 eV per atom
**Uncorrected formation energy**: 0.455 eV per atom
**Raw total energy**: -0.4719 Ry/atom

a = 2.8207 Å, b = 2.8207 Å, c = 7.0780 Å
α = 90.00°, β = 90.00°, γ = 90.00°
With the nearest neighbours (Å) after each atom.
Fractional positions:
Cl1 0.0000 0.0000 0.5108  4 Co 2.62, 4 Ru 2.78, 4 Cl 2.82
Co1 0.5000 0.5000 0.7511  4 Cl 2.62, 4 Ru 2.66, 4 Co 2.82
Ru1 0.5000 0.5000 0.2374  8 Ru 2.61-2.82, 4 Cl 2.78
Ru2 0.0000 0.0000 0.0006  8 Ru 2.61-2.82, 4 Co 2.66

=====

[5]
An optimized crystal structure of CsTi3Se. Source: Alexandria, functional PBE-GGA.

**Excess energy over the best structure of this formula in the dataset**: 0.000 eV per atom
**Uncorrected formation energy**: 0.655 eV per atom
**Raw total energy**: -0.3638 Ry/atom

a = 4.9440 Å, b = 4.9440 Å, c = 4.9440 Å
α = 90.00°, β = 90.00°, γ = 90.00°
With the nearest neighbours (Å) after each atom.
Fractional positions:
Ti1 0.0000 0.0000 0.5000  2 Se 2.47
Ti2 0.5000 0.0000 0.0000  2 Se 2.47
Ti3 0.0000 0.5000 0.0000  2 Se 2.47
Se1 0.0000 0.0000 0.0000  6 Ti 2.47
Cs1 0.5000 0.5000 0.5000  12 Ti 3.50

=====

[6]
An optimized crystal structure of HfCrMo. Source: Alexandria, functional PBE-GGA.

**Excess energy over the best structure of this formula in the dataset**: 0.000 eV per atom
**Energy of formation**: -0.131 eV/atom
**Raw total energy**: -0.7546 Ry/atom

a = 5.1490 Å, b = 5.1891 Å, c = 5.1891 Å
α = 61.06°, β = 60.26°, γ = 60.26°
With the nearest neighbours (Å) after each atom.
Fractional positions:
Cr1 0.5000 0.0000 0.0000  2 Cr 2.57, 4 Mo 2.59
Mo1 0.5000 0.0000 0.5000  4 Cr 2.59, 2 Mo 2.64
Mo2 0.5000 0.5000 0.0000  4 Cr 2.59, 2 Mo 2.64
Cr2 0.0000 0.0000 0.0000  2 Cr 2.57, 4 Mo 2.59
Hf1 0.1229 0.6271 0.6271  6 Cr 3.01-3.08, 6 Mo 3.03-3.05, 4 Hf 3.17-3.19
Hf2 0.8771 0.3729 0.3729  6 Cr 3.01-3.08, 6 Mo 3.03-3.05, 4 Hf 3.17-3.19

=====

[7]
An optimized crystal structure of AlNi2Pt6. Source: Alexandria, functional PBE-GGA.

**Excess energy over the best structure of this formula in the dataset**: 0.000 eV per atom
**Energy of formation**: -0.371 eV/atom
**Raw total energy**: -0.4482 Ry/atom

a = 3.9495 Å, b = 8.0949 Å, c = 8.0950 Å
α = 90.00°, β = 90.00°, γ = 90.00°
With the nearest neighbours (Å) after each atom.
Fractional positions:
Ni1 0.5000 0.1784 0.3216  10 Pt 2.65-2.80, 2 Al 2.84
Al1 0.5000 0.5000 0.0000  8 Pt 2.60-2.62, 4 Ni 2.84
Al2 0.0000 0.0000 0.5000  8 Pt 2.60-2.62, 4 Ni 2.84
Pt1 0.5000 0.1481 0.6482  2 Al 2.60, 4 Ni 2.65-2.80, 6 Pt 2.75-2.78
Pt2 0.5000 0.8236 0.0092  1 Al 2.62, 3 Ni 2.67-2.68, 8 Pt 2.75-2.86
Pt3 0.0000 0.6764 0.5092  1 Al 2.62, 3 Ni 2.67-2.68, 8 Pt 2.75-2.86
Pt4 0.0000 0.6481 0.8518  2 Al 2.60, 4 Ni 2.65-2.80, 6 Pt 2.75-2.78
Pt5 0.5000 0.1764 0.9908  1 Al 2.62, 3 Ni 2.67-2.68, 8 Pt 2.75-2.86
Pt6 0.0000 0.0093 0.1764  1 Al 2.62, 3 Ni 2.67-2.68, 8 Pt 2.75-2.86
Pt7 0.0000 0.9907 0.8236  1 Al 2.62, 3 Ni 2.67-2.68, 8 Pt 2.75-2.86
Pt8 0.0000 0.3519 0.1482  2 Al 2.60, 4 Ni 2.65-2.80, 6 Pt 2.75-2.78
Ni2 0.0000 0.6784 0.1784  10 Pt 2.65-2.80, 2 Al 2.84
Ni3 0.5000 0.8216 0.6784  10 Pt 2.65-2.80, 2 Al 2.84
Pt9 0.5000 0.4907 0.6764  1 Al 2.62, 3 Ni 2.67-2.68, 8 Pt 2.75-2.86
Ni4 0.0000 0.3216 0.8216  10 Pt 2.65-2.80, 2 Al 2.84
Pt10 0.0000 0.3236 0.4908  1 Al 2.62, 3 Ni 2.67-2.68, 8 Pt 2.75-2.86
Pt11 0.5000 0.5093 0.3236  1 Al 2.62, 3 Ni 2.67-2.68, 8 Pt 2.75-2.86
Pt12 0.5000 0.8519 0.3518  2 Al 2.60, 4 Ni 2.65-2.80, 6 Pt 2.75-2.78

=====

[8]
An optimized crystal structure of PmMgSc2Cu4. Source: Alexandria, functional PBE-GGA.

**Energy of formation**: -0.180 eV/atom
**Raw total energy**: -0.3384 Ry/atom

a = 4.5972 Å, b = 4.5972 Å, c = 8.5314 Å
α = 74.37°, β = 74.37°, γ = 60.00°
With the nearest neighbours (Å) after each atom.
Fractional positions:
Sc1 0.2401 0.2401 0.2797  7 Cu 2.75-2.86
Mg1 0.5000 0.5000 0.5000  8 Cu 2.60-2.86
Cu1 0.1226 0.1226 0.6322  4 Sc 2.75-2.86, 3 Mg 2.86, 1 Pm 2.98, 3 Cu 3.06
Cu2 0.8774 0.8774 0.3678  4 Sc 2.75-2.86, 3 Mg 2.86, 1 Pm 2.98, 3 Cu 3.06
Pm1 0.0000 0.0000 0.0000  8 Cu 2.98-3.03
Cu3 0.3933 0.3933 0.8201  1 Mg 2.60, 3 Sc 2.77
Sc2 0.7599 0.7599 0.7203  7 Cu 2.75-2.86
Cu4 0.6067 0.6067 0.1799  1 Mg 2.60, 3 Sc 2.77